The following is a PBE calculation of crystalline Li3Tl4Hg at its relaxed geometry, from Alexandria via LeMat-Bulk.

Results
ΔE_f = -0.1427 eV per atom
Mass density = 9.3 g/cm3
Energy = -2.0813 eV/atom
M_tot = 0.0 μB per formula unit
N(E_F) = 6.84 states/eV/cell

abc: 4.9910 7.4502 9.9817
angles: 90.00 90.00 90.00
Last column: nearest neighbours and their distance in Å.
Positions (direct):
Li: 0.5010 0.0000 0.7500  8 Tl 3.05
Li: 0.0000 0.0000 0.5000  8 Tl 3.05
Li: 0.5029 0.5000 0.7500  8 Tl 3.18-3.19, 4 Hg 3.52-3.54
Li: 0.4990 0.0000 0.2500  8 Tl 3.05
Li: 0.4971 0.5000 0.2500  8 Tl 3.18-3.19, 4 Hg 3.52-3.54
Li: 0.0000 0.0000 0.0000  8 Tl 3.05
Tl: 0.9987 0.7651 0.2500  6 Li 3.05-3.19, 2 Hg 3.18
Tl: 0.5000 0.2350 0.0000  6 Li 3.05-3.18, 2 Hg 3.18
Tl: 0.5000 0.7650 0.0000  6 Li 3.05-3.18, 2 Hg 3.18
Tl: 0.0013 0.7651 0.7500  6 Li 3.05-3.19, 2 Hg 3.18
Tl: 0.9987 0.2349 0.2500  6 Li 3.05-3.19, 2 Hg 3.18
Tl: 0.5000 0.2350 0.5000  6 Li 3.05-3.18, 2 Hg 3.18
Tl: 0.0013 0.2349 0.7500  6 Li 3.05-3.19, 2 Hg 3.18
Tl: 0.5000 0.7650 0.5000  6 Li 3.05-3.18, 2 Hg 3.18
Hg: 0.0000 0.5000 0.5000  8 Tl 3.18, 4 Li 3.52-3.54
Hg: 0.0000 0.5000 0.0000  8 Tl 3.18, 4 Li 3.52-3.54



The following is a PBE calculation of crystalline Li3TlHg5 at its relaxed geometry, from Alexandria via LeMat-Bulk.

Results
ΔE_f = -0.2090 eV per atom
Mass density = 10.4 g/cm3
Energy = -1.2775 eV/atom
M_tot = 0.0 μB per formula unit
N(E_F) = 8.93 states/eV/cell

abc: 6.0918 8.6304 8.6293
angles: 120.00 90.00 90.00
Last column: nearest neighbours and their distance in Å.
Positions (direct):
Hg: 0.2500 0.6680 0.0000  5 Li 2.80-3.05
Hg: 0.5000 0.3333 0.6666  8 Hg 3.05-3.26, 6 Li 3.22
Hg: 0.0000 0.3333 0.6666  8 Hg 3.05-3.26, 6 Li 3.22
Hg: 0.7500 0.6680 0.6681  5 Li 2.80-3.05
Hg: 0.7500 0.3320 0.0000  5 Li 2.80-3.05
Hg: 0.2500 0.3320 0.3319  5 Li 2.80-3.05
Hg: 0.2500 0.0000 0.6681  5 Li 2.80-3.05
Hg: 0.7500 0.0000 0.3319  5 Li 2.80-3.05
Hg: 0.0000 0.6667 0.3334  8 Hg 3.05-3.26, 6 Li 3.22
Hg: 0.5000 0.6667 0.3334  8 Hg 3.05-3.26, 6 Li 3.22
Li: 0.2500 0.0001 0.3438  5 Hg 2.80-3.05
Li: 0.7500 0.3437 0.3438  5 Hg 2.80-3.05
Li: 0.2500 0.6563 0.6562  5 Hg 2.80-3.05
Li: 0.7500 0.9999 0.6562  5 Hg 2.80-3.05
Li: 0.7500 0.6563 0.0000  5 Hg 2.80-3.05
Li: 0.2500 0.3437 0.0000  5 Hg 2.80-3.05
Tl: 0.5000 0.0000 0.0000  2 Tl 3.05, 6 Hg 3.24, 6 Li 3.33
Tl: 0.0000 0.0000 0.0000  2 Tl 3.05, 6 Hg 3.24, 6 Li 3.33



The following is a PBE calculation of crystalline Li4Tl3Hg at its relaxed geometry, from Alexandria via LeMat-Bulk.

Results
ΔE_f = -0.2622 eV per atom
Mass density = 8.6 g/cm3
Energy = -2.1442 eV/atom
M_tot = 0.0 μB per formula unit
N(E_F) = 2.18 states/eV/cell

abc: 4.7892 4.7894 7.8190
angles: 107.89 107.88 89.91
Last column: nearest neighbours and their distance in Å.
Positions (direct):
Li: 0.6199 0.6204 0.2397  2 Hg 2.93, 6 Tl 2.93-3.03
Li: 0.8801 0.8797 0.7603  6 Tl 2.93-3.03, 2 Hg 2.93
Li: 0.1199 0.1203 0.2397  6 Tl 2.93-3.03, 2 Hg 2.93
Li: 0.3801 0.3796 0.7603  2 Hg 2.93, 6 Tl 2.93-3.03
Hg: 0.5000 0.0000 0.0000  8 Li 2.93
Tl: 0.2513 0.7512 0.5025  8 Li 3.00-3.03
Tl: 0.0000 0.5000 0.0000  8 Li 2.93
Tl: 0.7487 0.2488 0.4975  8 Li 3.00-3.03



The following is a PBE calculation of crystalline LiTlHg4 at its relaxed geometry, from Alexandria via LeMat-Bulk.

Results
Offset from the most stable computed form = 0 meV/atom
ΔE_f = -0.1252 eV per atom
Mass density = 11.5 g/cm3
Energy = -1.0397 eV/atom
M_tot = 0.0 μB per formula unit
N(E_F) = 1.95 states/eV/cell

abc: 3.3972 3.3972 12.7252
angles: 90.00 90.00 90.00
Last column: nearest neighbours and their distance in Å.
Positions (direct):
Hg: 0.5000 0.5000 0.8048  8 Hg 3.27-3.40, 4 Tl 3.46
Hg: 0.5000 0.5000 0.1952  8 Hg 3.27-3.40, 4 Tl 3.46
Hg: 0.0000 0.0000 0.6307  4 Li 2.92, 4 Hg 3.27
Hg: 0.0000 0.0000 0.3693  4 Li 2.92, 4 Hg 3.27
Li: 0.5000 0.5000 0.5000  8 Hg 2.92
Tl: 0.0000 0.0000 0.0000  4 Tl 3.40, 8 Hg 3.46



Please write out number 3 again, unchanged.
The following is a PBE calculation of crystalline Li4Tl3Hg at its relaxed geometry, from Alexandria via LeMat-Bulk.

Results
ΔE_f = -0.2622 eV per atom
Mass density = 8.6 g/cm3
Energy = -2.1442 eV/atom
M_tot = 0.0 μB per formula unit
N(E_F) = 2.18 states/eV/cell

abc: 4.7892 4.7894 7.8190
angles: 107.89 107.88 89.91
Last column: nearest neighbours and their distance in Å.
Positions (direct):
Li: 0.6199 0.6204 0.2397  2 Hg 2.93, 6 Tl 2.93-3.03
Li: 0.8801 0.8797 0.7603  6 Tl 2.93-3.03, 2 Hg 2.93
Li: 0.1199 0.1203 0.2397  6 Tl 2.93-3.03, 2 Hg 2.93
Li: 0.3801 0.3796 0.7603  2 Hg 2.93, 6 Tl 2.93-3.03
Hg: 0.5000 0.0000 0.0000  8 Li 2.93
Tl: 0.2513 0.7512 0.5025  8 Li 3.00-3.03
Tl: 0.0000 0.5000 0.0000  8 Li 2.93
Tl: 0.7487 0.2488 0.4975  8 Li 3.00-3.03